The following is a DFT calculation (PBE) of a geometry-optimized KSiAuSe3 structure.

Properties
Final energy (eV/atom): -3.729

a = 8.459 Å, b = 8.459 Å, c = 10.285 Å
α = 90.00°, β = 90.00°, γ = 155.20°
Positions (direct):
K (0.216, 0.784, 0.750)
K (0.784, 0.216, 0.250)
Si (0.500, 0.500, 0.000)
Si (0.500, 0.500, 0.500)
Au (0.115, 0.885, 0.250)
Au (0.885, 0.115, 0.750)
Se (0.108, 0.892, 0.014)
Se (0.108, 0.892, 0.486)
Se (0.459, 0.541, 0.250)
Se (0.541, 0.459, 0.750)
Se (0.892, 0.108, 0.514)
Se (0.892, 0.108, 0.986)